A relaxed structure of ScBeP. Source: Alexandria, functional GGA-PBEsol.

Unit cell a=3.5943 b=3.5943 c=3.5957 alpha=90.00 beta=90.00 gamma=120.00
Atoms (fractional coordinates):
Sc 0.3333 0.6667 0.5000
P 0.6667 0.3333 0.0000
Be 0.0000 0.0000 0.0000

Its formation energy is -1015 meV per atom. As for the symmetry: P-6m2 (187).



A relaxed structure of KMg2Be. Source: Alexandria, functional GGA-PBEsol.

Unit cell a=3.0059 b=5.7312 c=6.5677 alpha=115.87 beta=103.23 gamma=90.00
Atoms (fractional coordinates):
Be 0.5000 0.0000 0.0000
K 0.0000 0.5000 0.0000
Mg 0.8076 0.8076 0.6152
Mg 0.1924 0.1924 0.3848

Its formation energy is 467 meV per atom. As for the symmetry: Immm (71).



A relaxed structure of AgTe2Br. Source: Alexandria, functional GGA-PBEsol.

Unit cell a=4.1661 b=4.6844 c=6.1547 alpha=112.53 beta=90.00 gamma=90.00
Atoms (fractional coordinates):
Br 0.5000 0.5000 0.0000
Ag 0.5000 0.0000 0.5000
Te 0.0000 0.2134 0.3214
Te 0.0000 0.7866 0.6786

Its formation energy from raw total energies is -0.11 eV per atom. As for the symmetry: P2/m (10).



A relaxed structure of Li2NiF. Source: Alexandria, functional GGA-PBEsol.

Unit cell a=5.1491 b=5.1491 c=5.1491 alpha=97.22 beta=115.92 gamma=115.92
Atoms (fractional coordinates):
F 0.5000 0.2500 0.7500
F 0.0000 0.5000 0.5000
Li 0.3882 0.8750 0.7632
Li 0.8882 0.5132 0.1250
Li 0.1118 0.2368 0.6250
Li 0.6118 0.3750 0.4868
Ni 0.5000 0.7500 0.2500
Ni 0.0000 0.0000 0.0000

Its formation energy from raw total energies is -0.89 eV per atom. As for the symmetry: I-42d (122).



A relaxed structure of Al2Cu5Si. Source: Alexandria, functional GGA-PBEsol.

Unit cell a=3.6428 b=5.1967 c=10.2571 alpha=90.00 beta=90.00 gamma=90.00
Atoms (fractional coordinates):
Al 0.5000 0.2735 0.6335
Al 0.5000 0.7735 0.8665
Al 0.5000 0.7265 0.3665
Al 0.5000 0.2265 0.1335
Cu 0.5000 0.7350 0.1192
Cu 0.0000 0.4877 0.2440
Cu 0.5000 0.7650 0.6192
Cu 0.0000 0.0123 0.7440
Cu 0.5000 0.2350 0.3808
Cu 0.0000 0.5123 0.7560
Cu 0.0000 0.5000 0.5000
Cu 0.0000 0.0000 0.0000
Cu 0.0000 0.9877 0.2560
Cu 0.5000 0.2650 0.8808
Si 0.0000 0.0000 0.5000
Si 0.0000 0.5000 0.0000

Its formation energy from raw total energies is -0.14 eV per atom. The distance to the lowest polymorph of the same formula comes out at 0.0000 eV/atom. As for the symmetry: Pbam (55).



A relaxed structure of MgCoP2O7. Source: Alexandria, functional GGA-PBEsol.

Unit cell a=5.4984 b=6.3243 c=7.3029 alpha=82.78 beta=87.54 gamma=72.00
Atoms (fractional coordinates):
O 0.1014 0.6934 0.8949
O 0.9537 0.7836 0.5464
O 0.9237 0.7133 0.2099
O 0.8986 0.3066 0.1051
O 0.2935 0.8694 0.1249
O 0.3947 0.3535 0.5661
O 0.3553 0.4480 0.1668
O 0.0763 0.2867 0.7901
O 0.0463 0.2164 0.4536
O 0.6139 0.0439 0.3276
O 0.7065 0.1306 0.8751
O 0.6447 0.5520 0.8332
O 0.6053 0.6465 0.4339
O 0.3861 0.9561 0.6724
P 0.1837 0.6845 0.0941
P 0.2302 0.1992 0.6120
P 0.7698 0.8008 0.3880
P 0.8163 0.3155 0.9059
Mg 0.3288 0.6567 0.6555
Mg 0.6712 0.3433 0.3445
Co 0.2593 0.1562 0.2092
Co 0.7407 0.8438 0.7908

Its formation energy from raw total energies is -2.09 eV per atom. As for the symmetry: P-1 (2).



A relaxed structure of Sr4HgSe. Source: Alexandria, functional GGA-PBEsol.

Unit cell a=6.8851 b=6.8851 c=6.8851 alpha=60.00 beta=60.00 gamma=60.00
Atoms (fractional coordinates):
Sr 0.8761 0.3746 0.3746
Sr 0.3746 0.3746 0.8761
Sr 0.3746 0.3746 0.3746
Sr 0.3746 0.8761 0.3746
Hg 0.7500 0.7500 0.7500
Se 0.0000 0.0000 0.0000

Its formation energy from raw total energies is 0.17 eV per atom. As for the symmetry: F-43m (216).



A relaxed structure of Ta2Zn2Sn. Source: Alexandria, functional GGA-PBEsol.

Unit cell a=3.6499 b=3.6499 c=7.2373 alpha=104.61 beta=104.61 gamma=90.00
Atoms (fractional coordinates):
Zn 0.2500 0.7500 0.5000
Zn 0.7500 0.2500 0.5000
Sn 0.0000 0.0000 0.0000
Ta 0.4035 0.4035 0.8070
Ta 0.5965 0.5965 0.1930

Its formation energy is 360 meV per atom. As for the symmetry: I4/mmm (139).



A relaxed structure of Ca4Cl6O. Source: Alexandria, functional GGA-PBEsol.

Unit cell a=6.7899 b=8.9662 c=8.9662 alpha=120.00 beta=90.00 gamma=90.00
Atoms (fractional coordinates):
Cl 0.2908 0.9278 0.4639
Cl 0.1153 0.1378 0.2757
Cl 0.7908 0.4639 0.9278
Cl 0.2908 0.5361 0.4639
Cl 0.1153 0.7243 0.8622
Cl 0.6153 0.2757 0.1378
Cl 0.7908 0.4639 0.5361
Cl 0.2908 0.5361 0.0722
Cl 0.6153 0.8622 0.1378
Cl 0.1153 0.1378 0.8622
Cl 0.6153 0.8622 0.7243
Cl 0.7908 0.0722 0.5361
Ca 0.0007 0.8018 0.1982
Ca 0.0007 0.8018 0.6036
Ca 0.5729 0.6667 0.3333
Ca 0.5007 0.1982 0.3964
Ca 0.5007 0.6036 0.8018
Ca 0.0007 0.3964 0.1982
Ca 0.0729 0.3333 0.6667
Ca 0.5007 0.1982 0.8018
O 0.3953 0.3333 0.6667
O 0.8953 0.6667 0.3333

Its formation energy from raw total energies is -2.53 eV per atom. As for the symmetry: P6_3mc (186).



A relaxed structure of Ba3Sn2P4. Source: Alexandria, functional GGA-PBEsol.

Unit cell a=7.8668 b=7.8297 c=19.2224 alpha=90.00 beta=90.00 gamma=112.75
Atoms (fractional coordinates):
Ba 0.2952 0.9308 0.6881
Ba 0.8167 0.9487 0.8051
Ba 0.8167 0.4487 0.6949
Ba 0.7664 0.4530 0.9379
Ba 0.7664 0.9530 0.5621
Ba 0.1833 0.0513 0.1949
Ba 0.1833 0.5513 0.3051
Ba 0.7048 0.0692 0.3119
Ba 0.7048 0.5692 0.1881
Ba 0.2336 0.0470 0.4379
Ba 0.2952 0.4308 0.8119
Ba 0.2336 0.5470 0.0621
P 0.5289 0.2165 0.5719
P 0.4421 0.3144 0.3093
P 0.4711 0.2835 0.0719
P 0.0258 0.7121 0.5573
P 0.5579 0.6856 0.6907
P 0.9742 0.7879 0.0573
P 0.4421 0.8144 0.1907
P 0.0667 0.1980 0.6801
P 0.0667 0.6980 0.8199
P 0.9333 0.3020 0.1801
P 0.0258 0.2121 0.9427
P 0.5289 0.7165 0.9281
P 0.5579 0.1856 0.8093
P 0.9333 0.8020 0.3199
P 0.9742 0.2879 0.4427
P 0.4711 0.7835 0.4281
Sn 0.3533 0.4127 0.6212
Sn 0.7721 0.9449 0.0056
Sn 0.2279 0.0551 0.9944
Sn 0.3533 0.9127 0.8788
Sn 0.6467 0.5873 0.3788
Sn 0.6467 0.0873 0.1212
Sn 0.7721 0.4449 0.4944
Sn 0.2279 0.5551 0.5056

Its formation energy is -752 meV per atom. As for the symmetry: P2_1/c (14).



A relaxed structure of Ca2ZnAg. Source: Alexandria, functional GGA-PBEsol.

Unit cell a=3.4856 b=5.2194 c=5.8308 alpha=108.46 beta=107.39 gamma=90.00
Atoms (fractional coordinates):
Ca 0.7754 0.3056 0.5508
Ca 0.9773 0.9499 0.9547
Ag 0.2159 0.7523 0.4319
Zn 0.5314 0.4922 0.0627

Its formation energy is -185 meV per atom. As for the symmetry: Cm (8).



A relaxed structure of Cu2PbIO. Source: Alexandria, functional GGA-PBEsol.

Unit cell a=4.8949 b=4.8949 c=6.1612 alpha=90.00 beta=90.00 gamma=90.00
Atoms (fractional coordinates):
Pb 0.0000 0.0000 0.0000
Cu 0.5000 0.0000 0.0000
Cu 0.0000 0.5000 0.0000
I 0.0000 0.0000 0.5000
O 0.5000 0.5000 0.5000

Its formation energy from raw total energies is 1.23 eV per atom. As for the symmetry: P4/mmm (123).